Entry 1:
# PBE Mg2C, relaxed
# Total magnetic moment = 0.00 Bohr magnetons per cell
# Energy of formation = 0.623 eV/atom
# Energy relative to the lowest polymorph listed for this composition = 374 meV per atom
data_Mg2C
_symmetry_space_group_name_H-M 'P 63/m m c'
_symmetry_Int_Tables_number 194
_symmetry_space_group_name_Hall '-P 6c 2c'
_cell_length_a 3.7909
_cell_length_b 3.7909
_cell_length_c 6.4953
_cell_angle_alpha 90.00
_cell_angle_beta 90.00
_cell_angle_gamma 120.00
loop_
_atom_site_label
_atom_site_type_symbol
_atom_site_fract_x
_atom_site_fract_y
_atom_site_fract_z
_atom_site_occupancy
Mg1 Mg 0.0000 0.0000 0.0000 1
Mg2 Mg 0.3333 0.6667 0.2500 1
C1 C 0.3333 0.6667 0.7500 1


Entry 2:
# PBE Mg2AgPt4, relaxed
# Total magnetic moment = 0.00 Bohr magnetons per cell
# Energy of formation = -0.265 eV/atom
data_Mg2AgPt4
_symmetry_space_group_name_H-M 'I 4/m m m'
_symmetry_Int_Tables_number 139
_symmetry_space_group_name_Hall '-I 4 2'
_cell_length_a 3.762
_cell_length_b 3.762
_cell_length_c 18.753
_cell_angle_alpha 90.00
_cell_angle_beta 90.00
_cell_angle_gamma 90.00
loop_
_atom_site_label
_atom_site_type_symbol
_atom_site_fract_x
_atom_site_fract_y
_atom_site_fract_z
_atom_site_occupancy
Mg1 Mg 0.000 0.000 0.113 1
Ag1 Ag 0.000 0.000 0.500 1
Pt1 Pt 0.000 0.000 0.358 1
Pt2 Pt 0.000 0.500 0.250 1


Entry 3:
# PBE CoHSBr, relaxed
# Total magnetic moment = 0.00 Bohr magnetons per cell
# Energy relative to the lowest polymorph listed for this composition = 225 meV per atom
data_CoHSBr
_symmetry_space_group_name_H-M 'C 1 m 1'
_symmetry_Int_Tables_number 8
_symmetry_space_group_name_Hall 'C -2y'
_cell_length_a 6.106
_cell_length_b 3.517
_cell_length_c 6.599
_cell_angle_alpha 90.00
_cell_angle_beta 109.10
_cell_angle_gamma 90.00
loop_
_atom_site_label
_atom_site_type_symbol
_atom_site_fract_x
_atom_site_fract_y
_atom_site_fract_z
_atom_site_occupancy
Co1 Co 0.000 0.000 0.000 1
H1 H 0.086 0.000 0.239 1
S1 S 0.377 0.000 0.123 1
Br1 Br 0.373 0.500 0.634 1


Entry 4:
# PBE TmAlZn4Cu2, relaxed
# Total magnetic moment = 0.00 Bohr magnetons per cell
# Energy of formation = -0.122 eV/atom
data_TmAlZn4Cu2
_symmetry_space_group_name_H-M 'R -3 m'
_symmetry_Int_Tables_number 166
_symmetry_space_group_name_Hall '-R 3 2"'
_cell_length_a 4.1875
_cell_length_b 4.1875
_cell_length_c 25.8374
_cell_angle_alpha 90.00
_cell_angle_beta 90.00
_cell_angle_gamma 120.00
loop_
_atom_site_label
_atom_site_type_symbol
_atom_site_fract_x
_atom_site_fract_y
_atom_site_fract_z
_atom_site_occupancy
Tm1 Tm 0.0000 0.0000 0.0000 1
Al1 Al 0.0000 0.0000 0.5000 1
Zn1 Zn 0.0000 0.0000 0.1219 1
Zn2 Zn 0.0000 0.0000 0.3979 1
Cu1 Cu 0.0000 0.0000 0.2400 1


Entry 5:
# PBE Be3SbPb, relaxed
# Total magnetic moment = 0.00 Bohr magnetons per cell
# Formation energy without anion corrections = 1.253 eV per atom
# Energy relative to the lowest polymorph listed for this composition = 147 meV per atom
data_Be3SbPb
_symmetry_space_group_name_H-M 'P m -3 m'
_symmetry_Int_Tables_number 221
_symmetry_space_group_name_Hall '-P 4 2 3'
_cell_length_a 4.714
_cell_length_b 4.714
_cell_length_c 4.714
_cell_angle_alpha 90.00
_cell_angle_beta 90.00
_cell_angle_gamma 90.00
loop_
_atom_site_label
_atom_site_type_symbol
_atom_site_fract_x
_atom_site_fract_y
_atom_site_fract_z
_atom_site_occupancy
Be1 Be 0.000 0.000 0.500 1
Sb1 Sb 0.500 0.500 0.500 1
Pb1 Pb 0.000 0.000 0.000 1


Entry 6:
# PBE Mg9In2Hg, relaxed
# Total magnetic moment = 0.00 Bohr magnetons per cell
# Energy of formation = -0.104 eV/atom
data_Mg9In2Hg
_symmetry_space_group_name_H-M 'P 4/m m m'
_symmetry_Int_Tables_number 123
_symmetry_space_group_name_Hall '-P 4 2'
_cell_length_a 4.468
_cell_length_b 4.468
_cell_length_c 13.405
_cell_angle_alpha 90.00
_cell_angle_beta 90.00
_cell_angle_gamma 90.00
loop_
_atom_site_label
_atom_site_type_symbol
_atom_site_fract_x
_atom_site_fract_y
_atom_site_fract_z
_atom_site_occupancy
Mg1 Mg 0.000 0.000 0.000 1
Mg2 Mg 0.000 0.000 0.330 1
Mg3 Mg 0.000 0.500 0.162 1
Mg4 Mg 0.000 0.500 0.500 1
In1 In 0.500 0.500 0.331 1
Hg1 Hg 0.500 0.500 0.000 1


Entry 7:
# PBE La2Nd12Dy5, relaxed
# Total magnetic moment = 0.00 Bohr magnetons per cell
# Energy of formation = 0.132 eV/atom
# Energy relative to the lowest polymorph listed for this composition = 0 meV per atom
data_La2Nd12Dy5
_symmetry_space_group_name_H-M 'C 1 2/m 1'
_symmetry_Int_Tables_number 12
_symmetry_space_group_name_Hall '-C 2y'
_cell_length_a 20.208
_cell_length_b 7.498
_cell_length_c 8.931
_cell_angle_alpha 90.00
_cell_angle_beta 100.01
_cell_angle_gamma 90.00
loop_
_atom_site_label
_atom_site_type_symbol
_atom_site_fract_x
_atom_site_fract_y
_atom_site_fract_z
_atom_site_occupancy
La1 La 0.000 0.240 0.000 1
Nd1 Nd 0.040 0.500 0.673 1
Nd2 Nd 0.110 0.253 0.360 1
Nd3 Nd 0.170 0.230 0.756 1
Nd4 Nd 0.182 0.000 0.103 1
Dy1 Dy 0.000 0.000 0.500 1
Dy2 Dy 0.171 0.500 0.084 1
Dy3 Dy 0.248 0.500 0.496 1


Entry 8:
# PBE Ce2Sb3AsPd4, relaxed
# Total magnetic moment = 1.92 Bohr magnetons per cell
# Formation energy without anion corrections = -0.788 eV per atom
data_Ce2Sb3AsPd4
_symmetry_space_group_name_H-M 'P -4 m 2'
_symmetry_Int_Tables_number 115
_symmetry_space_group_name_Hall 'P -4 -2'
_cell_length_a 4.636
_cell_length_b 4.636
_cell_length_c 10.268
_cell_angle_alpha 90.00
_cell_angle_beta 90.00
_cell_angle_gamma 90.00
loop_
_atom_site_label
_atom_site_type_symbol
_atom_site_fract_x
_atom_site_fract_y
_atom_site_fract_z
_atom_site_occupancy
Ce1 Ce 0.000 0.500 0.247 1
Sb1 Sb 0.000 0.000 0.000 1
Sb2 Sb 0.000 0.500 0.632 1
As1 As 0.500 0.500 0.000 1
Pd1 Pd 0.000 0.000 0.500 1
Pd2 Pd 0.000 0.500 0.884 1
Pd3 Pd 0.500 0.500 0.500 1


The records above give, respectively, raw total energy values of -3.515, -4.580, -4.041, -2.810, -2.549, -1.781, -4.609, -5.754 eV per atom.